(1)
DFT (PBE) results for an optimized crystal structure of GeTeC2.

As for the space-group type: I-42d, No. 122. Its density of states at the Fermi level is 1.9 states/eV/f.u. Its total moment is 0.0 μB per formula unit. The uncorrected formation energy comes out at 1416 meV per atom. As for the energy above the lowest structure with this stoichiometry: 0.0 meV/atom. For the volume, the calculation gives 15.38 Å³/atom.

Cell: 5.3404 5.3404 5.7336 Å, 62.24 62.24 90.00°
Last column: nearest neighbours and their distance in Å.
Atoms (fractional coordinates):
Te1 0.7500 0.2500 0.5000  4 C 2.39
Te2 0.0000 0.0000 0.0000  4 C 2.39
C1 0.8750 0.8128 0.7500  2 Ge 1.99
C2 0.1872 0.6250 0.2500  2 Ge 1.99
C3 0.3750 0.4372 0.7500  2 Ge 1.99
C4 0.5628 0.1250 0.2500  2 Ge 1.99
Ge1 0.5000 0.5000 0.0000  4 C 1.99
Ge2 0.2500 0.7500 0.5000  4 C 1.99


(2)
DFT (PBE) results for an optimized crystal structure of TmAlPt3.

As for the space-group type: Pbam, No. 55. Its density of states at the Fermi level is 1.2 states/eV/f.u. Its total moment is 0.0 μB per formula unit. For the energy relative to the elements, the calculation gives -0.7369 eV per atom. For the volume, the calculation gives 19.61 Å³/atom.

Cell: 5.0507 5.9745 6.4981 Å, 90.00 90.00 90.00°
Last column: nearest neighbours and their distance in Å.
Atoms (fractional coordinates):
Pt1 0.0000 0.1407 0.1584  2 Al 2.37-2.38, 1 Pt 2.66
Pt2 0.0000 0.3593 0.6584  2 Al 2.37-2.38, 1 Pt 2.66
Pt3 0.0000 0.8593 0.8416  2 Al 2.37-2.38, 1 Pt 2.66
Pt4 0.0000 0.6407 0.3416  2 Al 2.37-2.38, 1 Pt 2.66
Pt5 0.5000 0.5000 0.0000  2 Al 2.53
Pt6 0.5000 0.0000 0.5000  2 Al 2.53
Al1 0.0000 0.0000 0.5000  6 Pt 2.37-2.53
Al2 0.0000 0.5000 0.0000  6 Pt 2.37-2.53
Tm1 0.5000 0.0000 0.0000  6 Pt 2.85-2.99
Tm2 0.5000 0.5000 0.5000  6 Pt 2.85-2.99